(1)
{"formula": "CaMg2Rh", "functional": "PBE", "state": "relaxed", "cell": [[1.664, 0.961, 9.505], [-1.664, 0.961, 9.505], [0.000, -1.921, 9.505]], "species": ["Ca", "Mg", "Mg", "Rh"], "fractional_positions": [[0.000, 0.000, 0.000], [0.230, 0.230, 0.230], [0.770, 0.770, 0.770], [0.500, 0.500, 0.500]], "final_energy_ev_per_atom": -3.171, "dos_ef_per_ev_cell": 1.842, "crystal_system": "trigonal", "spacegroup": "R-3m", "vol_a3_per_atom": 22.79}

(2)
{"formula": "Ca3MgRh", "functional": "PBE", "state": "relaxed", "cell": [[6.288, -2.603, 0.000], [6.288, 2.603, 0.000], [-0.789, 0.000, 8.823]], "species": ["Ca", "Ca", "Ca", "Ca", "Ca", "Ca", "Mg", "Mg", "Rh", "Rh"], "fractional_positions": [[0.110, 0.110, 0.361], [0.150, 0.150, 0.916], [0.367, 0.367, 0.364], [0.633, 0.633, 0.636], [0.850, 0.850, 0.084], [0.890, 0.890, 0.639], [0.421, 0.421, 0.864], [0.579, 0.579, 0.136], [0.262, 0.262, 0.644], [0.738, 0.738, 0.356]], "dos_ef_per_ev_cell": 6.120, "crystal_system": "monoclinic", "spacegroup": "C2/m", "vol_a3_per_atom": 28.88, "polymorph_energy_ev_per_atom": 0.0000}

What did the first record say?
{"formula": "CaMg2Rh", "functional": "PBE", "state": "relaxed", "cell": [[1.664, 0.961, 9.505], [-1.664, 0.961, 9.505], [0.000, -1.921, 9.505]], "species": ["Ca", "Mg", "Mg", "Rh"], "fractional_positions": [[0.000, 0.000, 0.000], [0.230, 0.230, 0.230], [0.770, 0.770, 0.770], [0.500, 0.500, 0.500]], "final_energy_ev_per_atom": -3.171, "dos_ef_per_ev_cell": 1.842, "crystal_system": "trigonal", "spacegroup": "R-3m", "vol_a3_per_atom": 22.79}